# 1
## Pm2Nb2Si2C (GGA-PBE)

Data for Pm2Nb2Si2C after structural relaxation.

* ΔE_f (raw): -0.585 eV per atom
* E: -7.69 eV per atom
* space group: I4/mmm (139)
* density of states at the Fermi level: 4.53 states/eV per cell

Unit cell a=4.2769 b=4.2769 c=8.2948 alpha=104.94 beta=104.94 gamma=90.00
Fractional positions:
Si  0.3794  0.3794  0.7588
Si  0.6206  0.6206  0.2412
Pm  0.8323  0.8323  0.6646
Pm  0.1677  0.1677  0.3354
Nb  0.0000  0.5000  0.0000
Nb  0.5000  0.0000  0.0000
C  0.0000  0.0000  0.0000

---

# 2
## PrNbC (GGA-PBE)

Data for PrNbC after structural relaxation.

* energy relative to the elements: -0.2 eV/f.u.
* E: -8.10 eV per atom
* space group: C2/m (12)
* density of states at the Fermi level: 10.07 states/eV per cell

Unit cell a=4.3341 b=6.8043 c=9.3585 alpha=94.76 beta=103.39 gamma=90.00
Fractional positions:
Nb  0.2218  0.1087  0.4437
Nb  0.7694  0.3721  0.5388
Nb  0.7782  0.8913  0.5563
Nb  0.2306  0.6279  0.4612
Pr  0.4051  0.1734  0.8101
Pr  0.9160  0.6603  0.8320
Pr  0.0840  0.3397  0.1680
Pr  0.5949  0.8266  0.1899
C  0.7040  0.6179  0.4079
C  0.2960  0.3821  0.5921
C  0.6951  0.1100  0.3902
C  0.3049  0.8900  0.6098

---

# 3
## PrNbC2 (GGA-PBE)

Data for PrNbC2 after structural relaxation.

* energy relative to the elements: -0.5 eV/f.u.
* E: -8.45 eV per atom
* space group: R-3m (166)
* density of states at the Fermi level: 0.76 states/eV per cell

Unit cell a=3.3873 b=3.3873 c=6.1774 alpha=74.09 beta=74.09 gamma=60.00
Fractional positions:
Nb  0.0000  0.0000  0.0000
C  0.2655  0.2655  0.2035
C  0.7345  0.7345  0.7965
Pr  0.5000  0.5000  0.5000

---

# 4
## PrNb2C (GGA-PBE)

Data for PrNb2C after structural relaxation.

* energy relative to the elements: 0.2 eV/f.u.
* E: -8.50 eV per atom
* space group: R-3m (166)
* density of states at the Fermi level: 3.54 states/eV per cell

Unit cell a=3.2058 b=3.2058 c=8.8814 alpha=79.60 beta=79.60 gamma=60.00
Fractional positions:
C  0.5000  0.5000  0.5000
Nb  0.8785  0.8785  0.3644
Nb  0.1215  0.1215  0.6356
Pr  0.0000  0.0000  0.0000

---

# 5
## Nb6PtC (GGA-PBE)

Data for Nb6PtC after structural relaxation.

* energy relative to the elements: -1.6 eV/f.u.
* E: -9.66 eV per atom
* space group: P-1 (2)
* density of states at the Fermi level: 7.06 states/eV per cell

Unit cell a=4.8757 b=5.4832 c=5.3747 alpha=82.63 beta=92.08 gamma=70.38
Fractional positions:
Pt  0.5000  0.5000  0.5000
Nb  0.0599  0.3521  0.7934
Nb  0.5940  0.2391  0.0955
Nb  0.7906  0.9397  0.6503
Nb  0.4060  0.7609  0.9045
Nb  0.2094  0.0603  0.3497
Nb  0.9401  0.6479  0.2066
C  0.0000  0.0000  0.0000

---

# 6
## Nb8Pt2C3 (GGA-PBE)

Data for Nb8Pt2C3 after structural relaxation.

* energy relative to the elements: -2.6 eV/f.u.
* E: -9.45 eV per atom
* space group: C2/m (12)
* density of states at the Fermi level: 7.84 states/eV per cell

Unit cell a=5.5540 b=6.3322 c=7.1968 alpha=116.10 beta=103.33 gamma=90.00
Fractional positions:
Nb  0.6080  0.1504  0.8045
Nb  0.8888  0.0961  0.1923
Nb  0.9123  0.5943  0.1887
Nb  0.0877  0.4057  0.8113
Nb  0.3920  0.3459  0.1955
Nb  0.6080  0.6541  0.8045
Nb  0.3920  0.8496  0.1955
Nb  0.1112  0.9039  0.8077
C  0.5000  0.0000  0.0000
C  0.0000  0.2402  0.0000
C  0.0000  0.7598  0.0000
Pt  0.3184  0.2550  0.5099
Pt  0.6816  0.7450  0.4901

---

# 7
## Nb2PtC (GGA-PBE)

Data for Nb2PtC after structural relaxation.

* energy relative to the elements: -0.1 eV/f.u.
* E: -8.88 eV per atom
* space group: I-42d (122)
* density of states at the Fermi level: 2.10 states/eV per cell

Unit cell a=6.4241 b=6.4241 c=5.4344 alpha=53.77 beta=53.77 gamma=90.00
Fractional positions:
Nb  0.3750  0.4388  0.7500
Nb  0.5612  0.1250  0.2500
Nb  0.8750  0.8112  0.7500
Nb  0.1888  0.6250  0.2500
C  0.2500  0.7500  0.5000
C  0.5000  0.5000  0.0000
Pt  0.0000  0.0000  0.0000
Pt  0.7500  0.2500  0.5000

---

# 8
## Nb4Pt2C (GGA-PBE)

Data for Nb4Pt2C after structural relaxation.

* energy relative to the elements: -1.9 eV/f.u.
* E: -9.07 eV per atom
* space group: P2/m (10)
* density of states at the Fermi level: 5.62 states/eV per cell

Unit cell a=2.9968 b=7.1840 c=7.8488 alpha=137.16 beta=90.00 gamma=90.00
Fractional positions:
C  0.0000  0.0714  0.0715
Pt  0.5000  0.7956  0.4470
Pt  0.5000  0.3472  0.6959
Nb  0.0000  0.2725  0.9373
Nb  0.0000  0.8703  0.2056
Nb  0.5000  0.8059  0.8174
Nb  0.5000  0.3369  0.3255

---

# 9
## Nb6PtC4 (GGA-PBE)

Data for Nb6PtC4 after structural relaxation.

* energy relative to the elements: -5.9 eV/f.u.
* E: -9.94 eV per atom
* space group: Cmcm (63)
* density of states at the Fermi level: 7.73 states/eV per cell

Unit cell a=3.2021 b=5.6560 c=16.9738 alpha=90.00 beta=90.00 gamma=106.44
Fractional positions:
C  0.4095  0.8190  0.3774
C  0.8611  0.7222  0.9608
C  0.1389  0.2778  0.0392
C  0.5905  0.1810  0.8774
C  0.5905  0.1810  0.6226
C  0.4095  0.8190  0.1226
C  0.8611  0.7222  0.5392
C  0.1389  0.2778  0.4608
Pt  0.3344  0.6688  0.7500
Pt  0.6656  0.3312  0.2500
Nb  0.5000  0.0000  0.0000
Nb  0.3643  0.7286  0.2500
Nb  0.2187  0.4373  0.5773
Nb  0.0393  0.0786  0.1473
Nb  0.9607  0.9214  0.8527
Nb  0.6357  0.2714  0.7500
Nb  0.2187  0.4373  0.9227
Nb  0.7813  0.5627  0.0773
Nb  0.5000  0.0000  0.5000
Nb  0.9607  0.9214  0.6473
Nb  0.0393  0.0786  0.3527
Nb  0.7813  0.5627  0.4227

---

# 10
## Nb4PtC (GGA-PBE)

Data for Nb4PtC after structural relaxation.

* energy relative to the elements: -0.7 eV/f.u.
* E: -9.37 eV per atom
* space group: P2_1/c (14)
* density of states at the Fermi level: 9.65 states/eV per cell

Unit cell a=5.4107 b=5.6856 c=6.5504 alpha=90.00 beta=83.91 gamma=90.00
Fractional positions:
Nb  0.3603  0.3593  0.3975
Nb  0.4181  0.8952  0.2001
Nb  0.9181  0.6048  0.2001
Nb  0.0819  0.3952  0.7999
Nb  0.8603  0.1407  0.3975
Nb  0.5819  0.1048  0.7999
Nb  0.6397  0.6407  0.6025
Nb  0.1397  0.8593  0.6025
Pt  0.5000  0.5000  0.0000
Pt  0.0000  0.0000  0.0000
C  0.0000  0.5000  0.5000
C  0.5000  0.0000  0.5000

---

# 11
## Nb3Pt3C (GGA-PBE)

Data for Nb3Pt3C after structural relaxation.

* energy relative to the elements: -3.5 eV/f.u.
* E: -8.73 eV per atom
* space group: Fd-3m (227)
* density of states at the Fermi level: 23.51 states/eV per cell

Unit cell a=8.4687 b=8.4687 c=8.4687 alpha=60.00 beta=60.00 gamma=60.00
Fractional positions:
Nb  0.1946  0.8054  0.8054
Nb  0.8054  0.1946  0.1946
Nb  0.4446  0.4446  0.0554
Nb  0.0554  0.0554  0.4446
Nb  0.4446  0.0554  0.4446
Nb  0.4446  0.0554  0.0554
Nb  0.8054  0.1946  0.8054
Nb  0.8054  0.8054  0.1946
Nb  0.1946  0.8054  0.1946
Nb  0.0554  0.4446  0.4446
Nb  0.1946  0.1946  0.8054
Nb  0.0554  0.4446  0.0554
C  0.1250  0.1250  0.6250
C  0.1250  0.6250  0.1250
C  0.6250  0.1250  0.1250
C  0.1250  0.1250  0.1250
Pt  0.8423  0.4730  0.8423
Pt  0.4077  0.4077  0.7770
Pt  0.7770  0.4077  0.4077
Pt  0.4077  0.7770  0.4077
Pt  0.4077  0.4077  0.4077
Pt  0.6250  0.6250  0.6250
Pt  0.8423  0.8423  0.4730
Pt  0.6250  0.6250  0.1250
Pt  0.6250  0.1250  0.6250
Pt  0.8423  0.8423  0.8423
Pt  0.1250  0.6250  0.6250
Pt  0.4730  0.8423  0.8423

---

# 12
## Nb2PtC (GGA-PBE)

Data for Nb2PtC after structural relaxation.

* energy relative to the elements: -2.1 eV/f.u.
* E: -9.37 eV per atom
* space group: R-3m (166)
* density of states at the Fermi level: 2.60 states/eV per cell

Unit cell a=3.1175 b=3.1175 c=7.1803 alpha=77.46 beta=77.46 gamma=60.00
Fractional positions:
Nb  0.7256  0.7256  0.8232
Nb  0.2744  0.2744  0.1768
Pt  0.5000  0.5000  0.5000
C  0.0000  0.0000  0.0000